Record 1
Density functional theory data (PBE-GGA) for Hf2AgHRu after structural relaxation.

```
Hf2AgHRu
1.0
-0.1407 4.4096 -0.7435
-1.7631 -0.7383 -4.0451
-3.4632 0.1397 1.4839
Ru Hf Ag H
1 2 1 1
Cartesian
-1.7316 0.0699 0.7420
-0.8815 -0.3692 -2.0226
-0.0703 2.2048 -0.3718
-2.6835 1.9055 -1.6524
0.0000 0.0000 0.0000
```

DFT total energy (eV per atom): -7.30


Record 2
Density functional theory data (PBE-GGA) for Sc2TeRh2 after structural relaxation.

```
Sc2TeRh2
1.0
7.3697 0.0000 0.0000
0.0000 7.3697 0.0000
0.0000 0.0000 3.4613
Sc Te Rh
4 2 4
Cartesian
1.2173 4.9021 1.7307
4.9021 6.1524 1.7307
6.1524 2.4676 1.7307
2.4676 1.2173 1.7307
0.0000 0.0000 0.0000
3.6848 3.6848 0.0000
2.6993 6.3842 0.0000
6.3842 4.6704 0.0000
4.6704 0.9855 0.0000
0.9855 2.6993 0.0000
```

Polymorph energy (0 for the lowest one) (eV per formula unit): 0.00
Raw formation energy (kJ per mole of atoms): -77.66


Record 3
Density functional theory data (PBE-GGA) for LiTeRh2O after structural relaxation.

```
LiTeRh2O
1.0
-2.5277 2.2382 -2.5387
2.3634 -1.3360 -3.5310
-2.5359 -3.3509 -0.4295
Te Rh O Li
1 2 1 1
Cartesian
1.1817 -0.6680 -1.7655
-1.2679 -1.6755 -0.2148
-1.2638 1.1191 -1.2693
-1.3501 -1.2243 -3.2496
0.0000 0.0000 0.0000
```

Raw formation energy (kJ per mole of atoms): 92.93


It is found that the magnetization values, taken in the order of the records, are 0.00 0.00 1.83 μB per formula unit.